[1]
Compound: GdRu2
Source: Alexandria via LeMat-Bulk
Functional: PBE-GGA
Structure: optimized geometry

abc: 5.361 5.361 5.361
angles: 60.00 60.00 60.00
Atoms (fractional coordinates):
Gd 0.125 0.125 0.125
Gd 0.875 0.875 0.875
Ru 0.000 0.500 0.500
Ru 0.500 0.000 0.500
Ru 0.500 0.500 0.000
Ru 0.500 0.500 0.500

Calculated formation energy = -251.9 meV/atom
SG = Fd-3m, No. 227


[2]
Compound: GdRu6
Source: Alexandria via LeMat-Bulk
Functional: PBE-GGA
Structure: optimized geometry

abc: 5.801 5.801 5.801
angles: 109.47 109.47 109.47
Atoms (fractional coordinates):
Gd 0.000 0.000 0.000
Ru 0.250 0.500 0.750
Ru 0.250 0.750 0.500
Ru 0.500 0.250 0.750
Ru 0.500 0.750 0.250
Ru 0.750 0.250 0.500
Ru 0.750 0.500 0.250

Calculated formation energy = 693.9 meV/atom
SG = Im-3m, No. 229


[3]
Compound: GdSbRu
Source: Alexandria via LeMat-Bulk
Functional: PBE-GGA
Structure: optimized geometry

abc: 4.609 4.609 3.594
angles: 90.00 90.00 120.00
Atoms (fractional coordinates):
Gd 0.000 0.000 0.000
Sb 0.333 0.667 0.500
Ru 0.667 0.333 0.500

E_form (uncorrected) = -0.522 eV/atom
SG = P-6m2, No. 187


[4]
Compound: Gd2SbRu
Source: Alexandria via LeMat-Bulk
Functional: PBE-GGA
Structure: optimized geometry

abc: 3.425 3.425 8.174
angles: 90.00 90.00 90.00
Atoms (fractional coordinates):
Gd 0.000 0.000 0.209
Gd 0.000 0.000 0.791
Sb 0.500 0.500 0.500
Ru 0.500 0.500 0.000

E_form (uncorrected) = -0.580 eV/atom
SG = P4/mmm, No. 123


[5]
Compound: GdScRu2
Source: Alexandria via LeMat-Bulk
Functional: PBE-GGA
Structure: optimized geometry

abc: 3.313 3.313 6.659
angles: 90.00 90.00 90.00
Atoms (fractional coordinates):
Gd 0.000 0.000 0.000
Sc 0.000 0.000 0.500
Ru 0.500 0.500 0.266
Ru 0.500 0.500 0.734

Calculated formation energy = -368.6 meV/atom
SG = P4/mmm, No. 123


[6]
Compound: GdSc2Ru
Source: Alexandria via LeMat-Bulk
Functional: PBE-GGA
Structure: optimized geometry

abc: 3.269 3.269 8.455
angles: 90.00 90.00 90.00
Atoms (fractional coordinates):
Gd 0.000 0.000 0.000
Sc 0.500 0.500 0.320
Sc 0.500 0.500 0.680
Ru 0.000 0.000 0.500

Calculated formation energy = -321.7 meV/atom
SG = P4/mmm, No. 123


[7]
Compound: GdSc2Ru
Source: Alexandria via LeMat-Bulk
Functional: PBE-GGA
Structure: optimized geometry

abc: 10.394 10.394 10.394
angles: 18.04 18.04 18.04
Atoms (fractional coordinates):
Gd 0.000 0.000 0.000
Sc 0.105 0.105 0.105
Sc 0.895 0.895 0.895
Ru 0.500 0.500 0.500

Calculated formation energy = 18.0 meV/atom
SG = R-3m, No. 166


[8]
Compound: SmGdScRu
Source: Alexandria via LeMat-Bulk
Functional: PBE-GGA
Structure: optimized geometry

abc: 5.102 5.102 5.102
angles: 60.00 60.00 60.00
Atoms (fractional coordinates):
Sm 0.000 0.000 0.000
Gd 0.500 0.500 0.500
Sc 0.750 0.750 0.750
Ru 0.250 0.250 0.250

Calculated formation energy = 31.5 meV/atom
SG = F-43m, No. 216


Looking at DFT total energy for the records above, in order, we have -11.13, -9.27, -9.68, -10.97, -10.11, -9.33, -8.99, -8.57 eV/atom.